[1]
In3Sn2Pb2: relaxed, PBE.

```
In3Sn2Pb2
1.0
5.5298 -2.3153 0.0000
5.5298 2.3153 0.0000
-1.4193 0.0000 7.8479
In Sn Pb
3 2 2
Direct
0.0000 0.0000 0.0000
0.2902 0.2902 0.8594
0.7098 0.7098 0.1406
0.1476 0.1476 0.4260
0.8524 0.8524 0.5740
0.4255 0.4255 0.2881
0.5745 0.5745 0.7119
```

Summary:
Energy relative to the elements = 0.1 eV/f.u.
ΔE to the lowest computed polymorph = 0.000 eV per atom
Theoretical density = 8.23 g cm⁻³
Uncorrected energy = -23.5 eV for the cell shown

=====

[2]
In9Sn2Pb: relaxed, PBE.

```
In9Sn2Pb
1.0
5.0396 0.0000 0.0000
0.0000 5.0396 0.0000
0.0000 0.0000 13.0673
In Sn Pb
9 2 1
Direct
0.0000 0.0000 0.0000
0.0000 0.0000 0.3356
0.0000 0.0000 0.6644
0.0000 0.5000 0.1708
0.0000 0.5000 0.5000
0.0000 0.5000 0.8292
0.5000 0.0000 0.1708
0.5000 0.0000 0.5000
0.5000 0.0000 0.8292
0.5000 0.5000 0.3341
0.5000 0.5000 0.6659
0.5000 0.5000 0.0000
```

Summary:
Energy relative to the elements = 0.2 eV/f.u.
Theoretical density = 7.39 g cm⁻³
Uncorrected energy = -36.1 eV for the cell shown